Entry 1:
The following is a DFT calculation (PBEsol) of K2RbScCl6 after structural relaxation.

Computed properties:
E_form (uncorrected)	-1967	meV per atom
E_tot	-41.61	eV per cell
density	2.139	g/cm³
crystal system	cubic

Cell lengths 7.7344, 7.7344, 7.7344 Å; angles 60.00, 60.00, 60.00 degrees
With the nearest neighbours (Å) after each atom.
Positions (direct):
K: 0.2500 0.2500 0.2500  12 Cl 3.88
K: 0.7500 0.7500 0.7500  12 Cl 3.88
Rb: 0.0000 0.0000 0.0000  6 Cl 3.01
Sc: 0.5000 0.5000 0.5000  6 Cl 2.46
Cl: 0.2751 0.2751 0.7249  1 Sc 2.46
Cl: 0.2751 0.7249 0.2751  1 Sc 2.46
Cl: 0.2751 0.7249 0.7249  1 Sc 2.46
Cl: 0.7249 0.2751 0.2751  1 Sc 2.46
Cl: 0.7249 0.2751 0.7249  1 Sc 2.46
Cl: 0.7249 0.7249 0.2751  1 Sc 2.46

=====

Entry 2:
The following is a DFT calculation (PBEsol) of ZnPtOF2 after structural relaxation.

Computed properties:
E_form (uncorrected)	-451	meV per atom
E_tot	-19.90	eV per cell
density	7.430	g/cm³
crystal system	tetragonal

Cell lengths 4.3079, 4.3079, 3.7873 Å; angles 90.00, 90.00, 90.00 degrees
With the nearest neighbours (Å) after each atom.
Positions (direct):
Zn: 0.0000 0.0000 0.0000  8 F 2.87, 4 O 3.05
Pt: 0.5000 0.5000 0.5000  2 O 1.89
O: 0.5000 0.5000 0.0000  2 Pt 1.89
F: 0.0000 0.5000 0.5000  2 Pt 2.15
F: 0.5000 0.0000 0.5000  2 Pt 2.15

=====

Entry 3:
The following is a DFT calculation (PBEsol) of CsRhPb3 after structural relaxation.

Computed properties:
E_tot	-10.58	eV per cell
density	6.743	g/cm³
crystal system	cubic
formation enthalpy at 0 K	2.100	eV/atom

Cell lengths 5.9547, 5.9547, 5.9547 Å; angles 90.00, 90.00, 90.00 degrees
With the nearest neighbours (Å) after each atom.
Positions (direct):
Cs: 0.0000 0.0000 0.0000  6 Pb 2.98
Rh: 0.5000 0.5000 0.5000  12 Pb 4.21
Pb: 0.0000 0.0000 0.5000  2 Cs 2.98
Pb: 0.0000 0.5000 0.0000  2 Cs 2.98
Pb: 0.5000 0.0000 0.0000  2 Cs 2.98

=====

Entry 4:
The following is a DFT calculation (PBEsol) of KRu2Br after structural relaxation.

Computed properties:
E_form (uncorrected)	1185	meV per atom
E_tot	-18.61	eV per cell
energy above the lowest structure with this stoichiometry	790.3	meV/atom
density	7.342	g/cm³
crystal system	trigonal

Cell lengths 9.7165, 9.7165, 9.7165 Å; angles 17.53, 17.53, 17.53 degrees
With the nearest neighbours (Å) after each atom.
Positions (direct):
K: 0.0000 0.0000 0.0000  6 K 2.96
Ru: 0.2341 0.2341 0.2341  3 Br 2.58
Ru: 0.7659 0.7659 0.7659  3 Br 2.58
Br: 0.5000 0.5000 0.5000  6 Ru 2.58

=====

Entry 5:
The following is a DFT calculation (PBEsol) of BeFe2Os after structural relaxation.

Computed properties:
E_tot	-34.33	eV per cell
density	12.314	g/cm³
crystal system	orthorhombic
formation enthalpy at 0 K	-0.046	eV/atom

Cell lengths 4.5735, 4.5735, 4.5735 Å; angles 143.97, 131.12, 62.21 degrees
With the nearest neighbours (Å) after each atom.
Positions (direct):
Be: 0.0000 0.0000 0.0000  4 Fe 2.34, 4 Os 2.36
Fe: 0.2373 0.7373 0.5000  2 Be 2.34, 4 Fe 2.37, 2 Os 2.50
Fe: 0.7627 0.2627 0.5000  2 Be 2.34, 4 Fe 2.37, 2 Os 2.50
Os: 0.5000 0.5000 0.0000  4 Be 2.36, 4 Fe 2.50

=====

Entry 6:
The following is a DFT calculation (PBEsol) of LaIn3As after structural relaxation.

Computed properties:
E_tot	-14.03	eV per cell
density	4.598	g/cm³
crystal system	cubic
formation enthalpy at 0 K	1.074	eV/atom

Cell lengths 5.8640, 5.8640, 5.8640 Å; angles 90.00, 90.00, 90.00 degrees
With the nearest neighbours (Å) after each atom.
Positions (direct):
La: 0.0000 0.0000 0.0000  6 In 2.93
In: 0.0000 0.0000 0.5000  2 La 2.93
In: 0.0000 0.5000 0.0000  2 La 2.93
In: 0.5000 0.0000 0.0000  2 La 2.93
As: 0.5000 0.5000 0.5000  12 In 4.15

=====

Entry 7:
The following is a DFT calculation (PBEsol) of Fe3Tc4 after structural relaxation.

Computed properties:
E_tot	-71.10	eV per cell
energy above the lowest structure with this stoichiometry	106.1	meV/atom
density	10.373	g/cm³
crystal system	tetragonal
formation enthalpy at 0 K	0.122	eV/atom

Cell lengths 10.5047, 10.5047, 10.5047 Å; angles 163.86, 163.86, 22.90 degrees
With the nearest neighbours (Å) after each atom.
Positions (direct):
Fe: 0.0000 0.0000 0.0000  8 Tc 2.55
Fe: 0.2804 0.2804 0.0000  4 Fe 2.43, 4 Tc 2.57
Fe: 0.7196 0.7196 0.0000  4 Fe 2.43, 4 Tc 2.57
Tc: 0.1469 0.1469 0.0000  5 Fe 2.57-2.75, 4 Tc 2.60
Tc: 0.4289 0.4289 0.0000  4 Fe 2.55, 4 Tc 2.60
Tc: 0.5711 0.5711 0.0000  4 Fe 2.55, 4 Tc 2.60
Tc: 0.8531 0.8531 0.0000  5 Fe 2.57-2.75, 4 Tc 2.60

=====

Entry 8:
The following is a DFT calculation (PBEsol) of Ba2MgBe after structural relaxation.

Computed properties:
E_tot	-8.00	eV per cell
energy above the lowest structure with this stoichiometry	159.6	meV/atom
density	3.396	g/cm³
crystal system	trigonal
formation enthalpy at 0 K	0.505	eV/atom

Cell lengths 10.5988, 10.5988, 10.5988 Å; angles 22.32, 22.32, 22.32 degrees
With the nearest neighbours (Å) after each atom.
Positions (direct):
Ba: 0.2377 0.2377 0.2377  3 Be 3.23
Ba: 0.7623 0.7623 0.7623  3 Be 3.23
Mg: 0.0000 0.0000 0.0000  6 Ba 3.79, 6 Mg 4.10
Be: 0.5000 0.5000 0.5000  6 Ba 3.23